A relaxed structure of Pu3U2Si3, computed with PBE-GGA.

Cell: 3.779 10.707 15.187 Å, 90.00 90.00 90.00°
Space group Cmcm (No. 63)
One atom of each set of equivalent atoms:
1 Pu 0.000 0.073 0.250 x4
2 Pu 0.000 0.107 0.511 x8
3 U 0.000 0.387 0.117 x8
4 Si 0.000 0.205 0.750 x4
5 Si 0.000 0.328 0.617 x8

Calculated values
Energy relative to the elements, uncorrected, eV per atom: -0.4031
M_tot, Bohr magnetons per cell: 22.88
D(E_F), states/eV/f.u.: 15.374